A relaxed structure of Y3In, computed with PBE.

* spin magnetization: 0.097 μB/atom
* uncorrected energy: -5.762 eV per atom

a b c (Å): 6.146 6.146 6.146
angles (deg): 90.00 90.00 90.00
Space group Pm-3n (No. 223)
Unique sites:
Y: 0.000 0.250 0.500 x6
In: 0.000 0.000 0.000 x2

---

A relaxed structure of AsWS2Cl, computed with PBE.

* energy relative to the elements, uncorrected: 5.9 eV/f.u.
* E above lowest polymorph: 807 meV per atom
* spin magnetization: 0.809 μB/atom

a b c (Å): 4.867 4.867 4.628
angles (deg): 90.00 90.00 90.00
Space group P4/mmm (No. 123)
Unique sites:
As: 0.000 0.000 0.000 x1
W: 0.500 0.500 0.500 x1
S: 0.000 0.500 0.000 x2
Cl: 0.000 0.000 0.500 x1

---

A relaxed structure of AcTlZnIn, computed with PBE.

* spin magnetization: 0.000 μB/atom
* uncorrected energy: -2.821 eV per atom

a b c (Å): 7.676 7.676 7.676
angles (deg): 90.00 90.00 90.00
Space group F-43m (No. 216)
Unique sites:
Ac: 0.000 0.000 0.000 x4
Tl: 0.250 0.250 0.750 x4
Zn: 0.250 0.250 0.250 x4
In: 0.000 0.000 0.500 x4

---

A relaxed structure of Tb3Tm3ZnRu2, computed with PBE.

* spin magnetization: 0.000 μB/atom
* uncorrected energy: -5.385 eV per atom

a b c (Å): 8.1510 8.1510 3.6984
angles (deg): 90.00 90.00 120.00
Space group P-62m (No. 189)
Unique sites:
Tb: 0.0000 0.7202 0.0000 x3
Tm: 0.0000 0.3974 0.5000 x3
Zn: 0.0000 0.0000 0.5000 x1
Ru: 0.3333 0.6667 0.0000 x2

---

A relaxed structure of ZrCu2GeBr, computed with PBE.

* energy relative to the elements, uncorrected: 3.0 eV/f.u.
* spin magnetization: 0.323 μB/atom

a b c (Å): 4.449 4.449 5.448
angles (deg): 90.00 90.00 90.00
Space group P4/mmm (No. 123)
Unique sites:
Zr: 0.000 0.000 0.000 x1
Cu: 0.000 0.500 0.500 x2
Ge: 0.500 0.500 0.500 x1
Br: 0.500 0.500 0.000 x1

---

A relaxed structure of Cs2TbSbSe4, computed with PBE.

* energy relative to the elements, uncorrected: -9.0 eV/f.u.
* spin magnetization: 0.000 μB/atom

a b c (Å): 8.981 9.234 12.880
angles (deg): 90.00 90.00 90.00
Space group Imma (No. 74)
Unique sites:
Cs: 0.000 0.000 0.000 x4
Cs: 0.250 0.250 0.250 x4
Tb: 0.250 0.250 0.750 x4
Sb: 0.000 0.000 0.500 x4
Se: 0.000 0.043 0.730 x8
Se: 0.211 0.250 0.522 x8

---

A relaxed structure of ScTl2Pd5, computed with PBE.

* spin magnetization: 0.000 μB/atom
* uncorrected energy: -5.051 eV per atom

a b c (Å): 4.244 4.244 15.822
angles (deg): 90.00 90.00 90.00
Space group I4/mmm (No. 139)
Unique sites:
Sc: 0.000 0.000 0.000 x2
Tl: 0.000 0.000 0.259 x4
Pd: 0.000 0.000 0.500 x2
Pd: 0.000 0.500 0.118 x8

---

A relaxed structure of NaAs2Se3, computed with PBE.

* energy relative to the elements, uncorrected: -2.1 eV/f.u.
* E above lowest polymorph: 0 meV per atom
* spin magnetization: 0.000 μB/atom

a b c (Å): 7.624 7.626 7.897
angles (deg): 95.38 95.25 110.02
Space group P1 (No. 1)
Unique sites:
Na: 0.000 0.000 0.000 x1
Na: 0.313 0.688 0.999 x1
As: 0.419 0.106 0.368 x1
As: 0.745 0.432 0.905 x1
As: 0.747 0.638 0.414 x1
As: 0.950 0.435 0.414 x1
Se: 0.410 0.097 0.071 x1
Se: 0.452 0.430 0.479 x1
Se: 0.697 0.679 0.100 x1
Se: 0.742 0.140 0.478 x1
Se: 0.966 0.654 0.755 x1
Se: 0.992 0.385 0.099 x1